# Pm2AlSn4 PBE relaxed
data_Pm2AlSn4
_cell_length_a 4.474
_cell_length_b 4.474
_cell_length_c 9.618
_cell_angle_alpha 90.00
_cell_angle_beta 90.00
_cell_angle_gamma 90.00
_symmetry_space_group_name_H-M 'P -4 m 2'
_symmetry_Int_Tables_number 115
loop_
_symmetry_equiv_pos_as_xyz
'x,y,z'
'y,-x,-z'
'-x,-y,z'
'-y,x,-z'
'-x,y,z'
'-y,-x,-z'
'x,-y,z'
'y,x,-z'
loop_
_atom_site_label
_atom_site_type_symbol
_atom_site_fract_x
_atom_site_fract_y
_atom_site_fract_z
Pm1 Pm 0.000 0.500 0.238
Al1 Al 0.500 0.500 0.000
Sn1 Sn 0.000 0.000 0.500
Sn2 Sn 0.000 0.500 0.828
Sn3 Sn 0.500 0.500 0.500
# energy = -4.611 eV/atom
# N(E_F) = 4.77 states/eV/f.u.
# E_form = -0.431 eV per atom